A plane-wave DFT calculation with GGA-PBE was carried out for a relaxed Tb3NpTl3Se8 crystal.

Lattice parameters (Å, degrees): 9.188 9.188 9.188 54.08 54.08 54.08
Atoms (fractional coordinates):
Tb1 0.000 0.500 0.500
Tb2 0.500 0.000 0.500
Tb3 0.500 0.500 0.000
Np1 0.000 0.000 0.000
Tl1 0.000 0.000 0.500
Tl2 0.000 0.500 0.000
Tl3 0.500 0.000 0.000
Se1 0.231 0.231 0.739
Se2 0.231 0.739 0.231
Se3 0.261 0.769 0.769
Se4 0.265 0.265 0.265
Se5 0.735 0.735 0.735
Se6 0.739 0.231 0.231
Se7 0.769 0.261 0.769
Se8 0.769 0.769 0.261

space group	R-3m
energy	-5.44	eV/atom
crystal system	trigonal
calculated density	6.88	g cm⁻³
spin magnetization	3.00	μB/cell